Run one
Re2TcRu | GGA-PBEsol | optimized geometry

```
Re2TcRu
1.0
-1.920 1.920 3.836
1.920 -1.920 3.836
1.920 1.920 -3.836
Re Tc Ru
2 1 1
direct
0.250 0.750 0.500
0.750 0.250 0.500
0.000 0.000 0.000
0.500 0.500 0.000
```

Results
SG: I4/mmm (139)
Spin magnetization (Bohr magnetons per cell): 0.00

Run two
Re2TcRu | GGA-PBEsol | optimized geometry

```
Re2TcRu
1.0
4.490 -1.357 0.000
4.490 1.357 0.000
-0.813 0.000 4.644
Re Tc Ru
2 1 1
direct
0.000 0.000 0.000
0.248 0.248 0.741
0.752 0.752 0.248
0.500 0.500 0.497
```

Results
SG: Cm (8)
Spin magnetization (Bohr magnetons per cell): 0.00

Run three
Re2TcRu | GGA-PBEsol | optimized geometry

```
Re2TcRu
1.0
2.858 0.000 0.000
0.000 4.475 0.000
0.000 0.000 4.487
Re Tc Ru
2 1 1
direct
0.000 0.000 0.000
0.500 0.000 0.500
0.000 0.500 0.500
0.500 0.500 0.000
```

Results
SG: Pmmm (47)
Spin magnetization (Bohr magnetons per cell): 0.00

run one comes first in stability; the runner-up is 14 meV per atom higher.

Run one
ReTe2Ru | GGA-PBEsol | optimized geometry

```
ReTe2Ru
1.0
-1.521 2.352 5.145
1.521 -2.352 5.145
1.521 2.352 -5.145
Re Te Ru
1 2 1
direct
0.000 0.000 0.000
0.249 0.749 0.500
0.544 0.544 0.000
0.786 0.286 0.500
```

Results
SG: Imm2 (44)
Spin magnetization (Bohr magnetons per cell): 0.00

Run two
ReTe2Ru | GGA-PBEsol | optimized geometry

```
ReTe2Ru
1.0
-1.959 1.959 4.677
1.959 -1.959 4.677
1.959 1.959 -4.677
Re Te Ru
1 2 1
direct
0.000 0.000 0.000
0.250 0.750 0.500
0.500 0.500 0.000
0.750 0.250 0.500
```

Results
SG: I-4m2 (119)
Spin magnetization (Bohr magnetons per cell): 0.00

run one comes first in stability; the runner-up is 190 meV per atom higher.

Run one
TlRe2Ru | GGA-PBEsol | optimized geometry

```
TlRe2Ru
1.0
4.577 -1.435 0.000
4.577 1.435 0.000
-0.947 0.000 4.865
Tl Re Ru
1 2 1
direct
0.000 0.000 0.000
0.234 0.234 0.681
0.493 0.493 0.505
0.761 0.761 0.252
```

Results
SG: Cm (8)
Spin magnetization (Bohr magnetons per cell): 0.00

Run two
TlRe2Ru | GGA-PBEsol | optimized geometry

```
TlRe2Ru
1.0
4.684 0.000 0.000
0.000 4.684 0.000
0.000 0.000 2.888
Tl Re Ru
1 2 1
direct
0.000 0.000 0.000
0.000 0.500 0.500
0.500 0.000 0.500
0.500 0.500 0.000
```

Results
SG: P4/mmm (123)
Spin magnetization (Bohr magnetons per cell): 0.00

run one comes first in stability; the runner-up is 431 meV per atom higher.

Run one
TlRe2Ru | GGA-PBEsol | optimized geometry

```
TlRe2Ru
1.0
2.826 0.000 0.000
0.000 3.878 0.000
0.000 0.000 5.828
Tl Re Ru
1 2 1
direct
0.000 0.000 0.000
0.000 0.000 0.498
0.500 0.500 0.302
0.500 0.500 0.740
```

Results
SG: Pmm2 (25)
Spin magnetization (Bohr magnetons per cell): 0.00

Run two
TlRe2Ru | GGA-PBEsol | optimized geometry

```
TlRe2Ru
1.0
2.848 0.000 0.000
0.000 2.848 0.000
0.000 0.000 7.848
Tl Re Ru
1 2 1
direct
0.000 0.000 0.000
0.000 0.000 0.511
0.500 0.500 0.285
0.500 0.500 0.731
```

Results
SG: P4mm (99)
Spin magnetization (Bohr magnetons per cell): 0.00

run two comes first in stability; the runner-up is 128 meV per atom higher.

Run one
TlReRu2 | GGA-PBEsol | optimized geometry

```
TlReRu2
1.0
4.631 -1.428 0.000
4.631 1.428 0.000
-0.942 0.000 4.700
Tl Re Ru
1 1 2
direct
0.000 0.000 0.000
0.234 0.234 0.682
0.498 0.498 0.507
0.760 0.760 0.240
```

Results
SG: Cm (8)
Spin magnetization (Bohr magnetons per cell): 0.00

Run two
TlReRu2 | GGA-PBEsol | optimized geometry

```
TlReRu2
1.0
2.847 0.000 0.000
0.000 2.847 0.000
0.000 0.000 7.661
Tl Re Ru
1 1 2
direct
0.000 0.000 0.000
0.000 0.000 0.500
0.500 0.500 0.277
0.500 0.500 0.723
```

Results
SG: P4/mmm (123)
Spin magnetization (Bohr magnetons per cell): 0.00

Run three
TlReRu2 | GGA-PBEsol | optimized geometry

```
TlReRu2
1.0
2.855 -3.770 0.000
2.855 3.770 0.000
0.000 0.000 2.854
Tl Re Ru
1 1 2
direct
0.000 0.000 0.000
0.500 0.500 0.000
0.000 0.500 0.500
0.500 0.000 0.500
```

Results
SG: Cmmm (65)
Spin magnetization (Bohr magnetons per cell): 0.00

Run four
TlReRu2 | GGA-PBEsol | optimized geometry

```
TlReRu2
1.0
-1.909 1.909 4.203
1.909 -1.909 4.203
1.909 1.909 -4.203
Tl Re Ru
1 1 2
direct
0.000 0.000 0.000
0.750 0.250 0.500
0.250 0.750 0.500
0.500 0.500 0.000
```

Results
SG: I-4m2 (119)
Spin magnetization (Bohr magnetons per cell): 0.00

run two comes first in stability; the runner-up is 267 meV per atom higher.

Run one
Re2RuW | GGA-PBEsol | optimized geometry

```
Re2RuW
1.0
2.740 0.000 0.000
0.000 3.853 0.000
0.000 0.000 5.546
Re Ru W
2 1 1
direct
0.000 0.000 0.239
0.000 0.000 0.761
0.500 0.500 0.000
0.500 0.500 0.500
```

Results
SG: Pmmm (47)
Spin magnetization (Bohr magnetons per cell): 0.00

Run two
Re2RuW | GGA-PBEsol | optimized geometry

```
Re2RuW
1.0
1.367 0.789 9.059
-1.367 0.789 9.059
0.000 -1.579 9.059
Re Ru W
2 1 1
direct
0.247 0.247 0.247
0.753 0.753 0.753
0.500 0.500 0.500
0.000 0.000 0.000
```

Results
SG: R-3m (166)
Spin magnetization (Bohr magnetons per cell): 0.00

run one comes first in stability; the runner-up is 43 meV per atom higher.